Record 1
First-principles (PBE) data for MgNb2Te4Cl10O after structural relaxation, as listed in Alexandria via LeMat-Bulk.

The structure in POSCAR format:
```
MgNb2Te4Cl10O
1.0
7.193 -0.013 -0.033
2.161 8.244 -0.001
0.127 1.264 9.482
Te Cl Mg O Nb
4 10 1 1 2
Direct
0.882 0.811 0.032
0.865 0.059 0.811
0.083 0.200 0.978
0.179 0.903 0.156
0.622 0.515 0.181
0.832 0.513 0.735
0.440 0.177 0.191
0.648 0.813 0.466
0.202 0.778 0.591
0.324 0.202 0.543
0.172 0.530 0.303
0.786 0.178 0.429
0.407 0.450 0.824
0.511 0.860 0.816
0.426 0.168 0.786
0.521 0.494 0.501
0.491 0.360 0.354
0.524 0.641 0.626
```

Values from the calculation:
- final energy (eV/atom) = -4.273
- distance to the lowest polymorph of the same formula (meV per atom) = 29.8
- size of the total moment (μB/atom) = 0.056
- E_form (uncorrected) (eV per atom) = -1.066

=====

Record 2
First-principles (PBE) data for MgNb2Te4Cl10O after structural relaxation, as listed in Alexandria via LeMat-Bulk.

The structure in POSCAR format:
```
MgNb2Te4Cl10O
1.0
6.579 -0.605 -0.113
-2.791 9.534 -1.024
0.060 -2.430 10.228
Te Cl O Mg Nb
4 10 1 1 2
Direct
0.294 0.943 0.946
0.944 0.039 0.847
0.081 0.923 0.166
0.756 0.029 0.079
0.404 0.792 0.577
0.879 0.552 0.671
0.535 0.261 0.761
0.440 0.583 0.794
0.573 0.204 0.421
0.463 0.768 0.254
0.112 0.235 0.554
0.082 0.460 0.316
0.557 0.438 0.190
0.852 0.766 0.457
0.489 0.506 0.500
0.693 0.727 0.665
0.453 0.597 0.366
0.486 0.369 0.602
```

Values from the calculation:
- final energy (eV/atom) = -4.296
- distance to the lowest polymorph of the same formula (meV per atom) = 6.9
- size of the total moment (μB/atom) = 0.000
- E_form (uncorrected) (eV per atom) = -1.089

=====

Record 3
First-principles (PBE) data for MgNb2Te4Cl10O after structural relaxation, as listed in Alexandria via LeMat-Bulk.

The structure in POSCAR format:
```
MgNb2Te4Cl10O
1.0
0.999 -4.384 -4.915
-9.098 0.328 1.465
1.234 7.966 -6.676
Cl O Te Nb Mg
10 1 4 2 1
Direct
0.446 0.557 0.807
0.901 0.544 0.690
0.187 0.235 0.592
0.670 0.511 0.211
0.652 0.222 0.473
0.585 0.225 0.797
0.123 0.423 0.313
0.308 0.743 0.200
0.282 0.778 0.518
0.804 0.835 0.426
0.517 0.514 0.511
0.878 0.956 0.803
0.966 0.203 0.011
0.190 0.061 0.142
0.079 0.805 0.939
0.474 0.617 0.388
0.538 0.376 0.646
0.012 0.665 0.331
```

Values from the calculation:
- final energy (eV/atom) = -4.292
- distance to the lowest polymorph of the same formula (meV per atom) = 11.3
- size of the total moment (μB/atom) = 0.111
- E_form (uncorrected) (eV per atom) = -1.085

=====

Record 4
First-principles (PBE) data for MgNb2Te4Cl10O after structural relaxation, as listed in Alexandria via LeMat-Bulk.

The structure in POSCAR format:
```
MgNb2Te4Cl10O
1.0
6.489 0.149 -0.036
2.625 8.623 0.008
0.476 1.635 9.794
Cl Te Nb Mg O
10 4 2 1 1
Direct
0.888 0.483 0.686
0.623 0.821 0.443
0.124 0.544 0.311
0.617 0.495 0.170
0.374 0.491 0.803
0.851 0.187 0.416
0.153 0.822 0.568
0.544 0.816 0.790
0.399 0.181 0.232
0.353 0.210 0.561
0.213 0.891 0.136
0.076 0.183 0.969
0.891 0.804 0.028
0.789 0.081 0.841
0.529 0.637 0.637
0.484 0.383 0.371
0.263 0.035 0.429
0.514 0.506 0.496
```

Values from the calculation:
- final energy (eV/atom) = -4.296
- distance to the lowest polymorph of the same formula (meV per atom) = 7.0
- size of the total moment (μB/atom) = 0.059
- E_form (uncorrected) (eV per atom) = -1.089

=====

Record 5
First-principles (PBE) data for MgNb2Te4Cl10O after structural relaxation, as listed in Alexandria via LeMat-Bulk.

The structure in POSCAR format:
```
MgNb2Te4Cl10O
1.0
7.833 -0.164 -0.384
2.003 8.594 -0.320
0.010 0.946 9.091
Te Cl Nb O Mg
4 10 2 1 1
Direct
0.813 0.073 0.840
0.887 0.815 0.038
0.190 0.900 0.140
0.099 0.175 0.967
0.329 0.208 0.494
0.248 0.805 0.561
0.471 0.189 0.136
0.712 0.765 0.520
0.532 0.830 0.848
0.654 0.500 0.181
0.761 0.194 0.427
0.229 0.525 0.245
0.773 0.470 0.793
0.350 0.499 0.819
0.515 0.657 0.650
0.488 0.361 0.367
0.510 0.500 0.508
0.595 0.362 0.974
```

Values from the calculation:
- final energy (eV/atom) = -4.303
- distance to the lowest polymorph of the same formula (meV per atom) = 0.0
- size of the total moment (μB/atom) = 0.093
- E_form (uncorrected) (eV per atom) = -1.096

=====

Record 6
First-principles (PBE) data for MgNbPCl2 after structural relaxation, as listed in Alexandria via LeMat-Bulk.

The structure in POSCAR format:
```
MgNbPCl2
1.0
4.421 0.000 0.000
0.000 4.421 0.000
0.000 0.000 6.033
P Cl Mg Nb
1 2 1 1
Direct
0.000 0.000 0.500
0.500 0.000 0.000
0.000 0.500 0.000
0.000 0.000 0.000
0.500 0.500 0.500
```

Values from the calculation:
- final energy (eV/atom) = -4.091
- distance to the lowest polymorph of the same formula (meV per atom) = 381.2
- size of the total moment (μB/atom) = 0.400
- E_form (uncorrected) (eV per atom) = 0.063

=====

Record 7
First-principles (PBE) data for MgNbPCl2 after structural relaxation, as listed in Alexandria via LeMat-Bulk.

The structure in POSCAR format:
```
MgNbPCl2
1.0
-0.160 -2.756 3.999
2.610 -3.423 -2.254
4.230 2.143 1.646
Nb P Mg Cl
1 1 1 2
Direct
0.000 0.000 0.000
0.000 0.000 0.500
0.500 0.500 0.500
0.000 0.500 0.000
0.500 0.000 0.000
```

Values from the calculation:
- final energy (eV/atom) = -4.472
- distance to the lowest polymorph of the same formula (meV per atom) = 0.0
- size of the total moment (μB/atom) = 0.057
- E_form (uncorrected) (eV per atom) = -0.318

=====

Record 8
First-principles (PBE) data for MgNbPdCl2 after structural relaxation, as listed in Alexandria via LeMat-Bulk.

The structure in POSCAR format:
```
MgNbPdCl2
1.0
4.419 0.000 0.000
0.000 7.841 0.000
0.000 0.000 4.419
Cl Pd Mg Nb
2 1 1 1
Direct
0.000 0.000 0.500
0.500 0.000 0.000
0.500 0.500 0.500
0.000 0.000 0.000
0.000 0.500 0.000
```

Values from the calculation:
- final energy (eV/atom) = -3.757
- size of the total moment (μB/atom) = 0.587
- E_form (uncorrected) (eV per atom) = 0.353

=====

Record 9
First-principles (PBE) data for MgZrNbCl2 after structural relaxation, as listed in Alexandria via LeMat-Bulk.

The structure in POSCAR format:
```
MgZrNbCl2
1.0
-1.842 -4.024 -0.189
8.285 -3.573 -4.687
1.789 -1.003 3.926
Cl Zr Nb Mg
2 1 1 1
Direct
0.000 0.000 0.500
0.500 0.000 0.000
0.000 0.500 0.000
0.500 0.500 0.500
0.000 0.000 0.000
```

Values from the calculation:
- final energy (eV/atom) = -4.321
- size of the total moment (μB/atom) = 0.551
- E_form (uncorrected) (eV per atom) = 0.460

=====

Record 10
First-principles (PBE) data for MgZrNb2Cl after structural relaxation, as listed in Alexandria via LeMat-Bulk.

The structure in POSCAR format:
```
MgZrNb2Cl
1.0
4.858 0.000 0.000
0.000 5.157 0.000
0.000 0.000 4.858
Nb Zr Cl Mg
2 1 1 1
Direct
0.000 0.000 0.500
0.500 0.000 0.000
0.000 0.500 0.000
0.500 0.500 0.500
0.000 0.000 0.000
```

Values from the calculation:
- final energy (eV/atom) = -4.785
- size of the total moment (μB/atom) = 0.000
- E_form (uncorrected) (eV per atom) = 1.641

=====

Record 11
First-principles (PBE) data for NdMgCl4 after structural relaxation, as listed in Alexandria via LeMat-Bulk.

The structure in POSCAR format:
```
NdMgCl4
1.0
-2.926 -1.834 -1.124
1.521 -5.278 4.653
-4.244 4.669 3.428
Cl Nd Mg
4 1 1
Direct
0.000 0.726 0.288
0.500 0.701 0.712
0.500 0.299 0.288
0.000 0.274 0.712
0.500 0.500 0.000
0.000 0.500 0.500
```

Values from the calculation:
- final energy (eV/atom) = -4.171
- size of the total moment (μB/atom) = 0.000
- E_form (uncorrected) (eV per atom) = -1.879

=====

Record 12
First-principles (PBE) data for Nd2MgCl after structural relaxation, as listed in Alexandria via LeMat-Bulk.

The structure in POSCAR format:
```
Nd2MgCl
1.0
-1.163 -3.051 -1.177
2.250 -2.457 -0.971
0.438 -5.932 9.824
Cl Mg Nd
1 1 2
Direct
0.500 0.500 0.500
0.000 0.000 0.000
0.099 0.099 0.703
0.901 0.901 0.297
```

Values from the calculation:
- final energy (eV/atom) = -3.686
- size of the total moment (μB/atom) = 0.000
- E_form (uncorrected) (eV per atom) = -0.442